1.
Computed, not measured: an optimized crystal structure of NbZnCoSb at the GGA-PBE level of DFT.

Results
Energy above the lowest structure with this stoichiometry (eV per atom): 0.000
SG: F-43m (216)
Calculated volume (A^3/atom): 16.23
Magnetization (μB/cell): 1.6

abc: 4.5117 4.5117 4.5117
angles: 60.00 60.00 60.00
Last column: nearest neighbours and their distance in Å.
Positions (direct):
Nb 0.0000 0.0000 0.0000  4 Zn 2.76, 4 Sb 2.76
Zn 0.7500 0.7500 0.7500  4 Co 2.76, 4 Nb 2.76
Co 0.5000 0.5000 0.5000  4 Sb 2.76, 4 Zn 2.76
Sb 0.2500 0.2500 0.2500  4 Co 2.76, 4 Nb 2.76

2.
Computed, not measured: an optimized crystal structure of TaPdNO at the GGA-PBE level of DFT.

Results
Energy above the lowest structure with this stoichiometry (eV per atom): 0.737
SG: P4/nmm (129)
Calculated volume (A^3/atom): 10.88
Magnetization (μB/cell): 0.0

abc: 3.4020 3.4020 7.5212
angles: 90.00 90.00 90.00
Last column: nearest neighbours and their distance in Å.
Positions (direct):
Ta 0.2500 0.2500 0.1787  4 O 2.17
Ta 0.7500 0.7500 0.8213  4 O 2.17
Pd 0.2500 0.7500 0.5000  4 Pd 2.41, 4 N 2.52
Pd 0.7500 0.2500 0.5000  4 Pd 2.41, 4 N 2.52
N 0.2500 0.2500 0.7473  4 Ta 2.47, 4 Pd 2.52, 4 O 2.55
N 0.7500 0.7500 0.2527  4 Ta 2.47, 4 Pd 2.52, 4 O 2.55
O 0.2500 0.7500 0.0000  4 Ta 2.17, 4 O 2.41
O 0.7500 0.2500 0.0000  4 Ta 2.17, 4 O 2.41

3.
Computed, not measured: an optimized crystal structure of NaFeTcSe3 at the GGA-PBE level of DFT.

Results
SG: Cmcm (63)
Calculated volume (A^3/atom): 19.75
Magnetization (μB/cell): 5.2
Calculated total energy (eV/atom): -5.509

abc: 7.2986 7.2986 9.4538
angles: 90.00 90.00 151.92
Last column: nearest neighbours and their distance in Å.
Positions (direct):
Na 0.2415 0.7585 0.7500  6 Se 3.04-3.07
Na 0.7585 0.2415 0.2500  6 Se 3.04-3.07
Fe 0.4705 0.5295 0.2500  4 Se 2.32-2.36
Fe 0.5295 0.4705 0.7500  4 Se 2.32-2.36
Tc 0.0000 0.0000 0.0000  6 Se 2.57-2.63
Tc 0.0000 0.0000 0.5000  6 Se 2.57-2.63
Se 0.0810 0.9190 0.2500  2 Fe 2.36, 2 Tc 2.63
Se 0.3733 0.6267 0.0531  1 Fe 2.32, 2 Tc 2.57
Se 0.3733 0.6267 0.4469  1 Fe 2.32, 2 Tc 2.57
Se 0.6267 0.3733 0.5531  1 Fe 2.32, 2 Tc 2.57
Se 0.6267 0.3733 0.9469  1 Fe 2.32, 2 Tc 2.57
Se 0.9190 0.0810 0.7500  2 Fe 2.36, 2 Tc 2.63

4.
Computed, not measured: an optimized crystal structure of Dy2ScS3 at the GGA-PBE level of DFT.

Results
SG: P-3m1 (164)
Calculated volume (A^3/atom): 19.87
Magnetization (μB/cell): 0.0
Calculated total energy (eV/atom): -6.597

abc: 3.8279 3.8279 9.3947
angles: 90.00 90.00 120.00
Last column: nearest neighbours and their distance in Å.
Positions (direct):
Dy 0.3333 0.6667 0.1728  6 S 2.74-2.75
Dy 0.6667 0.3333 0.8272  6 S 2.74-2.75
Sc 0.0000 0.0000 0.5000  6 S 2.64
S 0.0000 0.0000 0.0000  6 Dy 2.74
S 0.3333 0.6667 0.6529  3 Sc 2.64, 3 Dy 2.75
S 0.6667 0.3333 0.3471  3 Sc 2.64, 3 Dy 2.75

5.
Computed, not measured: an optimized crystal structure of LuTlNiIr at the GGA-PBE level of DFT.

Results
SG: F-43m (216)
Calculated volume (A^3/atom): 18.26
Magnetization (μB/cell): 0.0
Calculated total energy (eV/atom): -5.322

abc: 4.6924 4.6924 4.6924
angles: 60.00 60.00 60.00
Last column: nearest neighbours and their distance in Å.
Positions (direct):
Lu 0.0000 0.0000 0.0000  4 Ir 2.87, 4 Tl 2.87
Tl 0.2500 0.2500 0.2500  4 Ni 2.87, 4 Lu 2.87
Ni 0.5000 0.5000 0.5000  4 Tl 2.87, 4 Ir 2.87
Ir 0.7500 0.7500 0.7500  4 Ni 2.87, 4 Lu 2.87

6.
Computed, not measured: an optimized crystal structure of LiHf at the GGA-PBE level of DFT.

Results
Energy above the lowest structure with this stoichiometry (eV per atom): 1.777
SG: F-43m (216)
Calculated volume (A^3/atom): 23.91
Magnetization (μB/cell): 1.6

abc: 4.0744 4.0744 4.0744
angles: 60.00 60.00 60.00
Last column: nearest neighbours and their distance in Å.
Positions (direct):
Li 0.0000 0.0000 0.0000  4 Hf 2.50
Hf 0.2500 0.2500 0.2500  4 Li 2.50

7.
Computed, not measured: an optimized crystal structure of DySb at the GGA-PBE level of DFT.

Results
SG: P-6m2 (187)
Calculated volume (A^3/atom): 30.43
Magnetization (μB/cell): 0.0
Calculated total energy (eV/atom): -5.245

abc: 4.2348 4.2348 3.9189
angles: 90.00 90.00 120.00
Last column: nearest neighbours and their distance in Å.
Positions (direct):
Dy 0.0000 0.0000 0.0000  6 Sb 3.13
Sb 0.6667 0.3333 0.5000  6 Dy 3.13

8.
Computed, not measured: an optimized crystal structure of TmNpPb at the GGA-PBE level of DFT.

Results
Energy above the lowest structure with this stoichiometry (eV per atom): 0.000
SG: F-43m (216)
Calculated volume (A^3/atom): 33.22
Magnetization (μB/cell): 6.0

abc: 5.2040 5.2040 5.2040
angles: 60.00 60.00 60.00
Last column: nearest neighbours and their distance in Å.
Positions (direct):
Tm 0.0000 0.0000 0.0000  4 Pb 3.19
Np 0.5000 0.5000 0.5000  4 Pb 3.19
Pb 0.7500 0.7500 0.7500  4 Np 3.19, 4 Tm 3.19

9.
Computed, not measured: an optimized crystal structure of K2HfSeS2 at the GGA-PBE level of DFT.

Results
SG: C2/c (15)
Calculated volume (A^3/atom): 29.95
Magnetization (μB/cell): 0.0
Calculated total energy (eV/atom): -5.445

abc: 7.4668 7.4668 6.8336
angles: 93.89 93.89 71.21
Last column: nearest neighbours and their distance in Å.
Positions (direct):
K 0.0019 0.6704 0.7873  4 S 3.20-3.43, 1 Se 3.32
K 0.3296 0.9981 0.7127  4 S 3.20-3.43, 1 Se 3.32
K 0.6704 0.0019 0.2873  4 S 3.20-3.43, 1 Se 3.32
K 0.9981 0.3296 0.2127  4 S 3.20-3.43, 1 Se 3.32
Hf 0.4199 0.5801 0.2500  1 Se 2.47, 4 S 2.49-2.55
Hf 0.5801 0.4199 0.7500  1 Se 2.47, 4 S 2.49-2.55
Se 0.1360 0.8640 0.2500  1 Hf 2.47
Se 0.8640 0.1360 0.7500  1 Hf 2.47
S 0.3421 0.3764 0.4942  2 Hf 2.49-2.55
S 0.3764 0.3421 0.9942  2 Hf 2.49-2.55
S 0.6236 0.6579 0.0058  2 Hf 2.49-2.55
S 0.6579 0.6236 0.5058  2 Hf 2.49-2.55

10.
Computed, not measured: an optimized crystal structure of Pr3Al3CuNi2 at the GGA-PBE level of DFT.

Results
SG: P-62m (189)
Calculated volume (A^3/atom): 20.21
Magnetization (μB/cell): 0.0
Calculated total energy (eV/atom): -4.936

abc: 7.1382 7.1382 4.1227
angles: 90.00 90.00 120.00
Last column: nearest neighbours and their distance in Å.
Positions (direct):
Pr 0.0000 0.5786 0.0000  4 Ni 2.97, 1 Cu 3.01, 2 Al 3.22
Pr 0.4214 0.4214 0.0000  4 Ni 2.97, 1 Cu 3.01, 2 Al 3.22
Pr 0.5786 0.0000 0.0000  4 Ni 2.97, 1 Cu 3.01, 2 Al 3.22
Al 0.0000 0.2321 0.5000  2 Cu 2.64, 2 Ni 2.81, 2 Al 2.87
Al 0.2321 0.0000 0.5000  2 Cu 2.64, 2 Ni 2.81, 2 Al 2.87
Al 0.7679 0.7679 0.5000  2 Cu 2.64, 2 Ni 2.81, 2 Al 2.87
Cu 0.0000 0.0000 0.0000  6 Al 2.64
Ni 0.3333 0.6667 0.5000  3 Al 2.81, 6 Pr 2.97
Ni 0.6667 0.3333 0.5000  3 Al 2.81, 6 Pr 2.97

11.
Computed, not measured: an optimized crystal structure of LiSm at the GGA-PBE level of DFT.

Results
Energy above the lowest structure with this stoichiometry (eV per atom): 0.016
SG: P-6m2 (187)
Calculated volume (A^3/atom): 27.38
Magnetization (μB/cell): 0.0

abc: 3.3895 3.3895 5.5046
angles: 90.00 90.00 120.00
Last column: nearest neighbours and their distance in Å.
Positions (direct):
Li 0.0000 0.0000 0.0000  6 Sm 3.38, 6 Li 3.39
Sm 0.6667 0.3333 0.5000  6 Li 3.38, 6 Sm 3.39

12.
Computed, not measured: an optimized crystal structure of CsAg3WS4 at the GGA-PBE level of DFT.

Results
SG: P-43m (215)
Calculated volume (A^3/atom): 29.47
Magnetization (μB/cell): 1.9
Calculated total energy (eV/atom): -4.603

abc: 6.4252 6.4252 6.4252
angles: 90.00 90.00 90.00
Last column: nearest neighbours and their distance in Å.
Positions (direct):
Cs 0.0000 0.0000 0.0000  4 S 3.25
Ag 0.0000 0.5000 0.5000  4 S 2.66
Ag 0.5000 0.0000 0.5000  4 S 2.66
Ag 0.5000 0.5000 0.0000  4 S 2.66
W 0.5000 0.5000 0.5000  4 S 2.31
S 0.2921 0.2921 0.2921  1 W 2.31
S 0.2921 0.7079 0.7079  1 W 2.31
S 0.7079 0.2921 0.7079  1 W 2.31
S 0.7079 0.7079 0.2921  1 W 2.31